Record 1
{
  "formula": "EuY2",
  "functional": "PBE-GGA",
  "state": "optimized geometry",
  "ef_ev_per_atom": 0.06,
  "sg": "I4/mmm (139)",
  "total_energy_ev_per_fu": -23.0,
  "e_above_lowest_polymorph_ev_per_atom": 0.0000,
  "magnetic_moment_mub_per_cell": 7.1,
  "lattice": [[3.669, 0.000, 0.000], [0.000, 3.669, 0.000], [-1.835, -1.835, 7.752]],
  "species": ["Eu", "Y", "Y"],
  "frac_coords": [[0.000, 0.000, 0.000], [0.674, 0.674, 0.349], [0.326, 0.326, 0.651]]
}

=====

Record 2
{
  "formula": "Cs2InCl5",
  "functional": "PBE-GGA",
  "state": "optimized geometry",
  "sg": "Pnma (62)",
  "formation_energy_uncorrected_ev_per_fu": -12.889,
  "total_energy_ev_per_fu": -26.6,
  "magnetic_moment_mub_per_cell": 0.0,
  "lattice": [[7.509, 0.000, 0.000], [0.000, 9.568, 0.000], [0.000, 0.000, 15.231]],
  "species": ["Cs", "Cs", "Cs", "Cs", "Cs", "Cs", "Cs", "Cs", "In", "In", "In", "In", "Cl", "Cl", "Cl", "Cl", "Cl", "Cl", "Cl", "Cl", "Cl", "Cl", "Cl", "Cl", "Cl", "Cl", "Cl", "Cl", "Cl", "Cl", "Cl", "Cl"],
  "frac_coords": [[0.750, 0.531, 0.295], [0.250, 0.469, 0.705], [0.250, 0.969, 0.795], [0.750, 0.031, 0.205], [0.750, 0.829, 0.581], [0.250, 0.171, 0.419], [0.250, 0.671, 0.081], [0.750, 0.329, 0.919], [0.750, 0.819, 0.933], [0.250, 0.181, 0.067], [0.250, 0.681, 0.433], [0.750, 0.319, 0.567], [0.750, 0.713, 0.085], [0.250, 0.287, 0.915], [0.250, 0.787, 0.585], [0.750, 0.213, 0.415], [0.501, 0.667, 0.880], [0.499, 0.333, 0.120], [0.499, 0.833, 0.380], [0.001, 0.333, 0.120], [0.501, 0.167, 0.620], [0.999, 0.667, 0.880], [0.999, 0.167, 0.620], [0.001, 0.833, 0.380], [0.500, 0.000, 0.000], [0.500, 0.500, 0.500], [0.000, 0.000, 0.000], [0.000, 0.500, 0.500], [0.750, 0.975, 0.804], [0.250, 0.025, 0.196], [0.250, 0.525, 0.304], [0.750, 0.475, 0.696]]
}

=====

Record 3
{
  "formula": "LaPrNi2",
  "functional": "PBE-GGA",
  "state": "optimized geometry",
  "ef_ev_per_atom": -0.31,
  "sg": "Pm (6)",
  "total_energy_ev_per_fu": -22.5,
  "e_above_lowest_polymorph_ev_per_atom": 0.0000,
  "magnetic_moment_mub_per_cell": 0.0,
  "lattice": [[3.867, 0.000, -0.020], [0.000, 4.354, 0.000], [-1.889, 0.000, 5.411]],
  "species": ["La", "Pr", "Ni", "Ni"],
  "frac_coords": [[0.718, 0.000, 0.974], [0.446, 0.500, 0.432], [0.156, 0.500, 0.851], [0.011, 0.000, 0.561]]
}

=====

Record 4
{
  "formula": "La12Nd5Dy",
  "functional": "PBE-GGA",
  "state": "optimized geometry",
  "ef_ev_per_atom": 0.02,
  "sg": "C2/m (12)",
  "total_energy_ev_per_fu": -87.3,
  "magnetic_moment_mub_per_cell": 0.0,
  "lattice": [[-3.826, -7.275, 7.451], [-2.223, -10.461, -3.094], [5.609, -3.133, -0.177]],
  "species": ["La", "La", "La", "La", "La", "La", "La", "La", "La", "La", "La", "La", "Nd", "Nd", "Nd", "Nd", "Nd", "Dy"],
  "frac_coords": [[0.833, 0.000, 0.500], [0.167, 0.000, 0.500], [0.670, 0.000, 0.000], [0.330, 0.000, 0.000], [0.334, 0.668, 0.000], [0.998, 0.668, 0.000], [0.002, 0.332, 0.000], [0.666, 0.332, 0.000], [0.502, 0.333, 0.500], [0.835, 0.667, 0.500], [0.165, 0.333, 0.500], [0.498, 0.667, 0.500], [0.500, 0.000, 0.500], [0.166, 0.668, 0.498], [0.834, 0.332, 0.502], [0.667, 0.667, 0.001], [0.333, 0.333, 0.999], [0.000, 0.000, 0.000]]
}

=====

Record 5
{
  "formula": "TlInGa2Br4",
  "functional": "PBE-GGA",
  "state": "optimized geometry",
  "sg": "P2/m (10)",
  "formation_energy_uncorrected_ev_per_fu": -5.096,
  "total_energy_ev_per_fu": -22.9,
  "magnetic_moment_mub_per_cell": 0.0,
  "lattice": [[4.595, 0.000, 0.000], [0.000, 8.009, -0.177], [0.000, 2.800, 7.448]],
  "species": ["Tl", "In", "Ga", "Ga", "Br", "Br", "Br", "Br"],
  "frac_coords": [[0.000, 0.500, 0.500], [0.500, 0.500, 0.000], [0.000, 0.000, 0.000], [0.500, 0.000, 0.500], [0.000, 0.767, 0.746], [0.000, 0.233, 0.254], [0.500, 0.769, 0.243], [0.500, 0.231, 0.757]]
}

=====

Record 6
{
  "formula": "BaLi2TiS4",
  "functional": "PBE-GGA",
  "state": "optimized geometry",
  "sg": "I-42m (121)",
  "formation_energy_uncorrected_ev_per_fu": -12.255,
  "total_energy_ev_per_fu": -42.4,
  "magnetic_moment_mub_per_cell": 0.0,
  "lattice": [[-1.288, -0.839, -6.544], [1.518, -5.295, -3.072], [-5.758, -1.434, -2.136]],
  "species": ["Ba", "Li", "Li", "Ti", "S", "S", "S", "S"],
  "frac_coords": [[0.000, 0.000, 0.000], [0.500, 0.750, 0.250], [0.500, 0.250, 0.750], [0.000, 0.500, 0.500], [0.612, 0.533, 0.855], [0.388, 0.145, 0.467], [0.000, 0.467, 0.145], [0.000, 0.855, 0.533]]
}

=====

Record 7
{
  "formula": "GdThTiIn",
  "functional": "PBE-GGA",
  "state": "optimized geometry",
  "ef_ev_per_atom": 0.00,
  "sg": "F-43m (216)",
  "total_energy_ev_per_fu": -32.1,
  "magnetic_moment_mub_per_cell": 10.1,
  "lattice": [[-1.178, -5.187, 0.645], [-0.760, -3.127, -4.284], [3.619, -3.746, -1.259]],
  "species": ["Gd", "Ti", "Th", "In"],
  "frac_coords": [[0.000, 0.000, 0.000], [0.250, 0.250, 0.250], [0.500, 0.500, 0.500], [0.750, 0.750, 0.750]]
}

=====

Record 8
{
  "formula": "RbYPd2",
  "functional": "PBE-GGA",
  "state": "optimized geometry",
  "ef_ev_per_atom": 0.01,
  "sg": "I-42d (122)",
  "total_energy_ev_per_fu": -17.8,
  "e_above_lowest_polymorph_ev_per_atom": 0.0854,
  "magnetic_moment_mub_per_cell": 0.0,
  "lattice": [[-1.431, -7.845, 0.900], [4.309, -0.010, 6.770], [-1.409, -3.200, 5.648]],
  "species": ["Y", "Y", "Rb", "Rb", "Pd", "Pd", "Pd", "Pd"],
  "frac_coords": [[0.000, 0.000, 0.000], [0.750, 0.250, 0.500], [0.500, 0.500, 0.000], [0.250, 0.750, 0.500], [0.665, 0.125, 0.250], [0.085, 0.625, 0.250], [0.375, 0.335, 0.750], [0.875, 0.915, 0.750]]
}

=====

Record 9
{
  "formula": "Er2SnTe6",
  "functional": "PBE-GGA",
  "state": "optimized geometry",
  "sg": "P4_2/mnm (136)",
  "formation_energy_uncorrected_ev_per_fu": -5.049,
  "total_energy_ev_per_fu": -37.0,
  "magnetic_moment_mub_per_cell": 0.0,
  "lattice": [[7.079, 0.000, 0.000], [0.000, 7.079, 0.000], [0.000, 0.000, 13.402]],
  "species": ["Er", "Er", "Er", "Er", "Sn", "Sn", "Te", "Te", "Te", "Te", "Te", "Te", "Te", "Te", "Te", "Te", "Te", "Te"],
  "frac_coords": [[0.000, 0.000, 0.339], [0.500, 0.500, 0.839], [0.500, 0.500, 0.161], [0.000, 0.000, 0.661], [0.000, 0.000, 0.000], [0.500, 0.500, 0.500], [0.303, 0.303, 0.332], [0.697, 0.697, 0.332], [0.197, 0.803, 0.832], [0.803, 0.197, 0.832], [0.197, 0.803, 0.168], [0.803, 0.197, 0.168], [0.303, 0.303, 0.668], [0.697, 0.697, 0.668], [0.295, 0.295, 0.000], [0.705, 0.705, 0.000], [0.205, 0.795, 0.500], [0.795, 0.205, 0.500]]
}

=====

Record 10
{
  "formula": "Rb2SiSnHg",
  "functional": "PBE-GGA",
  "state": "optimized geometry",
  "sg": "P4/mmm (123)",
  "formation_energy_uncorrected_ev_per_fu": 2.930,
  "total_energy_ev_per_fu": -8.7,
  "magnetic_moment_mub_per_cell": 1.8,
  "lattice": [[7.128, 0.000, 0.000], [0.000, 5.456, 0.000], [0.000, 0.000, 7.128]],
  "species": ["Si", "Hg", "Rb", "Rb", "Sn"],
  "frac_coords": [[0.500, 0.500, 0.500], [0.000, 0.500, 0.000], [0.000, 0.000, 0.500], [0.500, 0.000, 0.000], [0.000, 0.000, 0.000]]
}

=====

Record 11
{
  "formula": "Cs2ZnH2",
  "functional": "PBE-GGA",
  "state": "optimized geometry",
  "sg": "P4/mbm (127)",
  "total_energy_ev_per_fu": -9.3,
  "magnetic_moment_mub_per_cell": 0.0,
  "lattice": [[-5.514, 0.230, 6.565], [-5.595, -4.654, -4.536], [1.611, -3.371, 1.471]],
  "species": ["Cs", "Cs", "Cs", "Cs", "H", "H", "H", "H", "Zn", "Zn"],
  "frac_coords": [[0.155, 0.655, 0.500], [0.655, 0.845, 0.500], [0.845, 0.345, 0.500], [0.345, 0.155, 0.500], [0.352, 0.852, 0.000], [0.852, 0.648, 0.000], [0.648, 0.148, 0.000], [0.148, 0.352, 0.000], [0.000, 0.000, 0.000], [0.500, 0.500, 0.000]]
}

=====

Record 12
{
  "formula": "Li5MgGa4",
  "functional": "PBE-GGA",
  "state": "optimized geometry",
  "ef_ev_per_atom": -0.23,
  "sg": "P4/mmm (123)",
  "total_energy_ev_per_fu": -25.5,
  "magnetic_moment_mub_per_cell": 0.0,
  "lattice": [[-0.399, -1.299, 2.906], [0.070, -2.932, -1.301], [15.745, -0.487, 1.946]],
  "species": ["Li", "Li", "Li", "Li", "Li", "Mg", "Ga", "Ga", "Ga", "Ga"],
  "frac_coords": [[0.500, 0.500, 0.124], [0.500, 0.500, 0.314], [0.500, 0.500, 0.500], [0.500, 0.500, 0.686], [0.500, 0.500, 0.876], [0.000, 0.000, 0.000], [0.000, 0.000, 0.218], [0.000, 0.000, 0.406], [0.000, 0.000, 0.594], [0.000, 0.000, 0.782]]
}

=====

Record 13
{
  "formula": "TeAsPd2Ru",
  "functional": "PBE-GGA",
  "state": "optimized geometry",
  "sg": "P4/mmm (123)",
  "formation_energy_uncorrected_ev_per_fu": 4.511,
  "total_energy_ev_per_fu": -22.9,
  "magnetic_moment_mub_per_cell": 0.5,
  "lattice": [[4.904, 0.000, 0.000], [0.000, 4.873, 0.000], [0.000, 0.000, 4.904]],
  "species": ["Ru", "As", "Te", "Pd", "Pd"],
  "frac_coords": [[0.000, 0.500, 0.000], [0.500, 0.500, 0.500], [0.000, 0.000, 0.000], [0.000, 0.000, 0.500], [0.500, 0.000, 0.000]]
}

=====

Record 14
{
  "formula": "ReIrAu2",
  "functional": "PBE-GGA",
  "state": "optimized geometry",
  "ef_ev_per_atom": 0.50,
  "sg": "I-4m2 (119)",
  "total_energy_ev_per_fu": -25.9,
  "e_above_lowest_polymorph_ev_per_atom": 0.3771,
  "magnetic_moment_mub_per_cell": 0.0,
  "lattice": [[4.901, 0.000, 0.000], [1.633, 4.621, 0.000], [-3.267, -2.311, 2.830]],
  "species": ["Au", "Au", "Ir", "Re"],
  "frac_coords": [[0.000, 0.000, 0.000], [0.250, 0.750, 0.500], [0.500, 0.500, 0.000], [0.750, 0.250, 0.500]]
}

=====

Record 15
{
  "formula": "ZnCuTe2",
  "functional": "PBE-GGA",
  "state": "optimized geometry",
  "sg": "P2/m (10)",
  "formation_energy_uncorrected_ev_per_fu": 0.335,
  "total_energy_ev_per_fu": -11.3,
  "e_above_lowest_polymorph_ev_per_atom": 0.3082,
  "magnetic_moment_mub_per_cell": 0.0,
  "lattice": [[3.909, 0.000, 0.000], [0.000, 4.602, -0.042], [0.000, 1.260, 5.344]],
  "species": ["Cu", "Te", "Te", "Zn"],
  "frac_coords": [[0.500, 0.750, 0.750], [0.000, 0.982, 0.989], [0.000, 0.518, 0.511], [0.500, 0.250, 0.250]]
}

=====

Record 16
{
  "formula": "Pb2SICl",
  "functional": "PBE-GGA",
  "state": "optimized geometry",
  "sg": "P3m1 (156)",
  "formation_energy_uncorrected_ev_per_fu": -3.471,
  "total_energy_ev_per_fu": -18.4,
  "magnetic_moment_mub_per_cell": 0.0,
  "lattice": [[4.908, 0.000, 0.000], [-2.454, 4.250, 0.000], [0.000, 0.000, 8.052]],
  "species": ["Pb", "Pb", "S", "I", "Cl"],
  "frac_coords": [[0.333, 0.667, 0.284], [0.667, 0.333, 0.730], [0.333, 0.667, 0.625], [0.000, 0.000, 0.010], [0.667, 0.333, 0.351]]
}

=====

Record 17
{
  "formula": "LiY2Cu12Ni3",
  "functional": "PBE-GGA",
  "state": "optimized geometry",
  "ef_ev_per_atom": 0.01,
  "sg": "R-3m (166)",
  "total_energy_ev_per_fu": -81.1,
  "magnetic_moment_mub_per_cell": 0.0,
  "lattice": [[-0.055, 5.517, 3.122], [-4.522, 2.784, -3.462], [-4.847, -1.359, 3.853]],
  "species": ["Li", "Y", "Y", "Cu", "Cu", "Cu", "Cu", "Cu", "Cu", "Cu", "Cu", "Cu", "Cu", "Cu", "Cu", "Ni", "Ni", "Ni"],
  "frac_coords": [[0.000, 0.000, 0.000], [0.745, 0.745, 0.745], [0.255, 0.255, 0.255], [0.423, 0.423, 0.851], [0.803, 0.803, 0.275], [0.275, 0.803, 0.803], [0.851, 0.423, 0.423], [0.803, 0.275, 0.803], [0.423, 0.851, 0.423], [0.577, 0.577, 0.149], [0.197, 0.197, 0.725], [0.725, 0.197, 0.197], [0.149, 0.577, 0.577], [0.197, 0.725, 0.197], [0.577, 0.149, 0.577], [0.500, 0.000, 0.000], [0.000, 0.500, 0.000], [0.000, 0.000, 0.500]]
}

=====

Record 18
{
  "formula": "CaBO3",
  "functional": "PBE-GGA",
  "state": "optimized geometry",
  "sg": "C2/c (15)",
  "formation_energy_uncorrected_ev_per_fu": -12.017,
  "total_energy_ev_per_fu": -35.6,
  "magnetic_moment_mub_per_cell": 4.1,
  "lattice": [[6.347, 0.108, 0.085], [1.621, 6.429, -0.750], [1.621, 0.782, 6.425]],
  "species": ["Ca", "Ca", "Ca", "Ca", "B", "B", "B", "B", "O", "O", "O", "O", "O", "O", "O", "O", "O", "O", "O", "O"],
  "frac_coords": [[0.250, 0.894, 0.106], [0.750, 0.106, 0.894], [0.250, 0.313, 0.687], [0.750, 0.687, 0.313], [0.770, 0.632, 0.833], [0.730, 0.167, 0.368], [0.230, 0.368, 0.167], [0.270, 0.833, 0.632], [0.648, 0.774, 0.985], [0.852, 0.015, 0.226], [0.352, 0.226, 0.015], [0.148, 0.985, 0.774], [0.855, 0.423, 0.860], [0.645, 0.140, 0.577], [0.145, 0.577, 0.140], [0.355, 0.860, 0.423], [0.337, 0.630, 0.691], [0.163, 0.309, 0.370], [0.663, 0.370, 0.309], [0.837, 0.691, 0.630]]
}

=====

Record 19
{
  "formula": "YH3Rh",
  "functional": "PBE-GGA",
  "state": "optimized geometry",
  "sg": "Cm (8)",
  "total_energy_ev_per_fu": -26.1,
  "magnetic_moment_mub_per_cell": 0.0,
  "lattice": [[3.644, -0.001, 0.006], [0.001, 3.646, 0.004], [1.827, 1.825, 4.279]],
  "species": ["Y", "H", "H", "H", "Rh"],
  "frac_coords": [[0.399, 0.202, 0.907], [0.595, 0.898, 0.517], [0.094, 0.398, 0.518], [0.858, 0.661, 0.990], [0.063, 0.866, 0.580]]
}

=====

Record 20
{
  "formula": "PmSm4Ho2",
  "functional": "PBE-GGA",
  "state": "optimized geometry",
  "ef_ev_per_atom": 0.13,
  "sg": "P2_1/m (11)",
  "total_energy_ev_per_fu": -31.9,
  "e_above_lowest_polymorph_ev_per_atom": 0.0904,
  "magnetic_moment_mub_per_cell": 0.0,
  "lattice": [[-4.116, 4.586, -0.223], [-4.711, -4.314, -1.769], [-0.377, -4.100, 11.003]],
  "species": ["Pm", "Pm", "Sm", "Sm", "Sm", "Sm", "Sm", "Sm", "Sm", "Sm", "Ho", "Ho", "Ho", "Ho"],
  "frac_coords": [[0.163, 0.750, 0.153], [0.837, 0.250, 0.847], [0.647, 0.499, 0.287], [0.009, 0.750, 0.851], [0.991, 0.250, 0.149], [0.647, 0.001, 0.287], [0.854, 0.250, 0.560], [0.353, 0.999, 0.713], [0.353, 0.501, 0.713], [0.146, 0.750, 0.440], [0.600, 0.750, 0.000], [0.400, 0.250, 0.000], [0.292, 0.250, 0.437], [0.708, 0.750, 0.563]]
}

=====

Record 21
{
  "formula": "Pm7Pb3C2",
  "functional": "PBE-GGA",
  "state": "optimized geometry",
  "ef_ev_per_atom": -0.44,
  "sg": "Cmmm (65)",
  "total_energy_ev_per_fu": -68.1,
  "e_above_lowest_polymorph_ev_per_atom": 0.0251,
  "magnetic_moment_mub_per_cell": 0.0,
  "lattice": [[-3.261, 3.664, 0.991], [-3.833, -2.973, -1.620], [0.425, -3.043, 12.652]],
  "species": ["Pm", "Pm", "Pm", "Pm", "Pm", "Pm", "Pm", "Pb", "Pb", "Pb", "C", "C"],
  "frac_coords": [[0.000, 0.398, 0.797], [0.000, 0.801, 0.602], [0.000, 0.000, 0.000], [0.000, 0.602, 0.203], [0.500, 0.097, 0.193], [0.500, 0.903, 0.807], [0.000, 0.199, 0.398], [0.500, 0.500, 0.000], [0.500, 0.690, 0.381], [0.500, 0.310, 0.619], [0.000, 0.898, 0.797], [0.000, 0.102, 0.203]]
}

=====

Record 22
{
  "formula": "Cs3CaAg2Cl6",
  "functional": "PBE-GGA",
  "state": "optimized geometry",
  "sg": "P-3m1 (164)",
  "formation_energy_uncorrected_ev_per_fu": -17.421,
  "total_energy_ev_per_fu": -38.8,
  "magnetic_moment_mub_per_cell": 0.1,
  "lattice": [[-6.801, 2.482, 2.734], [4.249, -4.973, 4.134], [4.034, 6.718, 3.935]],
  "species": ["Cs", "Cs", "Cs", "Ca", "Ag", "Ag", "Cl", "Cl", "Cl", "Cl", "Cl", "Cl"],
  "frac_coords": [[0.333, 0.667, 0.638], [0.667, 0.333, 0.362], [0.000, 0.000, 0.000], [0.000, 0.000, 0.500], [0.667, 0.333, 0.843], [0.333, 0.667, 0.157], [0.673, 0.836, 0.313], [0.164, 0.327, 0.313], [0.164, 0.836, 0.313], [0.836, 0.673, 0.687], [0.327, 0.164, 0.687], [0.836, 0.164, 0.687]]
}